A plane-wave DFT calculation with PBE was carried out for a geometry-optimized ZrPtRh2 structure.

Cell lengths 2.8731, 2.8731, 27.4145 Å; angles 90.00, 90.00, 120.00 degrees
Space group R-3m (No. 166, hexagonal axes)
Asymmetric unit:
Zr 0.0000 0.0000 0.0000
Pt 0.0000 0.0000 0.5000
Rh 0.0000 0.0000 0.2490

Calculated values
* energy relative to the elements: -0.105 eV/atom
* DOS at the Fermi energy: 23.69 states/eV per cell
* electronic total energy: -7.428 eV per atom


A plane-wave DFT calculation with PBE was carried out for a geometry-optimized ZrPt4Rh2 structure.

Cell lengths 8.522, 20.165, 5.451 Å; angles 90.00, 90.00, 90.00 degrees
Space group Fdd2 (No. 43)
Asymmetric unit:
Zr 0.000 0.000 0.000
Pt 0.085 0.349 0.500
Pt 0.091 0.348 0.990
Rh 0.105 0.231 0.744

Calculated values
* energy relative to the elements: -0.291 eV/atom
* DOS at the Fermi energy: 56.81 states/eV per cell
* electronic total energy: -7.064 eV per atom


A plane-wave DFT calculation with PBE was carried out for a geometry-optimized ZrPt3Rh3 structure.

Cell lengths 7.639, 7.864, 7.868 Å; angles 90.00, 90.00, 90.00 degrees
Space group Cmmm (No. 65)
Asymmetric unit:
Zr 0.222 0.000 0.000
Pt 0.000 0.500 0.260
Pt 0.250 0.250 0.253
Rh 0.000 0.248 0.500
Rh 0.000 0.261 0.000
Rh 0.228 0.000 0.500

Calculated values
* energy relative to the elements: -0.288 eV/atom
* DOS at the Fermi energy: 36.53 states/eV per cell
* electronic total energy: -7.248 eV per atom


A plane-wave DFT calculation with PBE was carried out for a geometry-optimized Zr2PtRh structure.

Cell lengths 3.300, 3.400, 6.585 Å; angles 90.00, 90.00, 90.00 degrees
Space group Pmmm (No. 47)
Asymmetric unit:
Zr 0.000 0.000 0.245
Pt 0.500 0.500 0.500
Rh 0.500 0.500 0.000

Calculated values
* energy relative to the elements: -0.832 eV/atom
* DOS at the Fermi energy: 3.96 states/eV per cell
* electronic total energy: -8.454 eV per atom


A plane-wave DFT calculation with PBE was carried out for a geometry-optimized ZrPtRh3 structure.

Cell lengths 4.717, 4.717, 4.717 Å; angles 90.00, 90.00, 90.00 degrees
Space group Pm-3m (No. 221)
Asymmetric unit:
Zr 0.000 0.000 0.000
Pt 0.500 0.500 0.500
Rh 0.000 0.000 0.500

Calculated values
* polymorph energy (0 for the lowest one): 37.16 kcal/mol of atoms
* energy relative to the elements: 1.129 eV/atom
* DOS at the Fermi energy: 8.14 states/eV per cell
* electronic total energy: -6.199 eV per atom


A plane-wave DFT calculation with PBE was carried out for a geometry-optimized Zr2Pt2Rh structure.

Cell lengths 7.359, 7.359, 3.428 Å; angles 90.00, 90.00, 90.00 degrees
Space group P4/mbm (No. 127)
Asymmetric unit:
Zr 0.172 0.328 0.000
Pt 0.132 0.632 0.500
Rh 0.000 0.000 0.500

Calculated values
* energy relative to the elements: -0.842 eV/atom
* DOS at the Fermi energy: 7.93 states/eV per cell
* electronic total energy: -8.147 eV per atom